Mo3Se5: optimized geometry, GGA-PBE.

Values from the calculation:
Raw total energy, eV per atom: -6.0457
Total magnetic moment, μB per atom: 0.0000
Formation energy (no corrections), kJ/mol of atoms: 18.7

The structure in POSCAR format:
```
Mo3Se5
1.0
7.690 0.000 0.000
-3.845 6.659 0.000
0.000 0.000 5.733
Mo Se
6 10
direct
0.000 0.406 0.250
0.000 0.594 0.750
0.406 0.000 0.250
0.406 0.406 0.750
0.594 0.000 0.750
0.594 0.594 0.250
0.000 0.265 0.750
0.000 0.735 0.250
0.265 0.000 0.750
0.265 0.265 0.250
0.333 0.667 0.000
0.333 0.667 0.500
0.667 0.333 0.000
0.667 0.333 0.500
0.735 0.000 0.250
0.735 0.735 0.750
```